(1)
Compound: HfTlAgTe3
Source: OQMD
Functional: PBE
Structure: relaxed

Unit cell a=9.626 b=9.626 c=9.387 alpha=98.85 beta=98.85 gamma=24.75
Positions (direct):
Hf (0.163, 0.163, 0.091)
Hf (0.837, 0.837, 0.909)
Tl (0.128, 0.128, 0.579)
Tl (0.872, 0.872, 0.421)
Ag (0.459, 0.459, 0.782)
Ag (0.541, 0.541, 0.218)
Te (0.000, 0.000, 0.000)
Te (0.312, 0.312, 0.691)
Te (0.323, 0.323, 0.121)
Te (0.500, 0.500, 0.500)
Te (0.677, 0.677, 0.879)
Te (0.688, 0.688, 0.309)

Summary:
- M_tot: 0.0 μB/cell
- VASP energy: -0.333 Ry/atom



(2)
Compound: HfTlAgTe3
Source: OQMD
Functional: PBE
Structure: relaxed

Unit cell a=7.990 b=7.990 c=11.046 alpha=90.00 beta=90.00 gamma=150.04
Positions (direct):
Hf (0.000, 0.000, 0.000)
Hf (0.000, 0.000, 0.500)
Tl (0.238, 0.762, 0.750)
Tl (0.762, 0.238, 0.250)
Ag (0.455, 0.545, 0.250)
Ag (0.545, 0.455, 0.750)
Te (0.076, 0.924, 0.250)
Te (0.367, 0.633, 0.034)
Te (0.367, 0.633, 0.466)
Te (0.633, 0.367, 0.534)
Te (0.633, 0.367, 0.966)
Te (0.924, 0.076, 0.750)

Summary:
- M_tot: 0.0 μB/cell
- VASP energy: -0.337 Ry/atom



(3)
Compound: HfTlAgTe3
Source: OQMD
Functional: PBE
Structure: relaxed

Unit cell a=8.631 b=4.158 c=10.749 alpha=90.00 beta=109.98 gamma=90.00
Positions (direct):
Hf (0.202, 0.250, 0.170)
Hf (0.798, 0.750, 0.830)
Tl (0.233, 0.750, 0.708)
Tl (0.767, 0.250, 0.292)
Ag (0.428, 0.750, 0.396)
Ag (0.572, 0.250, 0.604)
Te (0.054, 0.250, 0.876)
Te (0.223, 0.250, 0.439)
Te (0.420, 0.750, 0.135)
Te (0.580, 0.250, 0.865)
Te (0.777, 0.750, 0.561)
Te (0.946, 0.750, 0.124)

Summary:
- M_tot: 0.0 μB/cell
- VASP energy: -0.341 Ry/atom



Question: What is the M_tot in the third record?
Answer: 0.0 μB/cell